Cd2HgTe | the Alexandria database | PBE | relaxed; V = 113 Å³/cell; space group = P4mm (99); theoretical density = 8.116 g cm⁻³; Fermi-level density of states = 1.6 states/eV/cell; energy relative to the elements, uncorrected = -28 kJ/mol of formula units; energy above the most stable polymorph in this dataset = 0.041 eV per atom
1.0
4.3069 0.0000 0.0000
0.0000 4.3069 0.0000
0.0000 0.0000 6.0999
Cd Hg Te
2 1 1
Cartesian
0.0000 0.0000 0.0000
2.1535 2.1535 3.0441
0.0000 0.0000 3.0505
2.1535 2.1535 6.0949